Entry from Alexandria via LeMat-Bulk: a relaxed structure of ZnOsBr2 (PBE-GGA).

a = 8.4204 Å, b = 8.4204 Å, c = 8.4204 Å
α = 24.34°, β = 24.34°, γ = 24.34°
Sites, in units of the cell vectors:
Br: 0.0219 0.0219 0.0219
Br: 0.2202 0.2202 0.2202
Zn: 0.7566 0.7566 0.7566
Os: 0.5014 0.5014 0.5014

Computed properties:
distance to the lowest polymorph of the same formula = 0.124 eV per atom
E_form (uncorrected) = 29.71 kJ per mole of atoms
energy = -14.618 eV per cell